# 1
Computed, not measured: an optimized crystal structure of MoP2W at the GGA-PBE level of DFT.

Summary:
total energy = -9.1532 eV per atom

Geometry as extended XYZ:
```
8
Lattice="-3.028 -1.147 0.176 1.826 -0.636 -2.604 4.361 -10.646 5.658" Properties=species:S:1:pos:R:3 pbc="T T T"
W 0.000 0.000 0.000
Mo 3.270 -7.985 4.244
P 0.757 -2.147 -0.964
W 2.180 -5.323 2.829
P 2.401 -10.282 4.195
P 1.839 -4.788 0.439
Mo 1.090 -2.662 1.415
P 1.319 -7.640 2.792
```



# 2
Computed, not measured: an optimized crystal structure of Y2Mo2P at the GGA-PBE level of DFT.

Summary:
total energy = -7.9924 eV per atom

Geometry as extended XYZ:
```
10
Lattice="0.000 5.810 9.606 1.773 0.000 9.606 1.773 5.810 0.000" Properties=species:S:1:pos:R:3 pbc="T T T"
Y 1.329 7.263 7.204
P 1.773 5.810 9.606
P 2.659 8.716 14.409
Mo 1.773 9.931 9.606
Mo 0.886 4.595 4.803
Y 1.329 4.358 12.007
Y 2.216 4.358 7.204
Mo 1.773 1.690 9.606
Y 2.216 7.263 12.007
Mo 0.886 1.215 4.803
```



# 3
Computed, not measured: an optimized crystal structure of PaMo2 at the GGA-PBE level of DFT.

Summary:
total energy = -7.0146 eV per atom
formation enthalpy at 0 K = 3.383 eV/atom

Geometry as extended XYZ:
```
6
Lattice="3.931 2.270 6.420 -3.931 2.270 6.420 0.000 -4.540 6.420" Properties=species:S:1:pos:R:3 pbc="T T T"
Pa 0.000 0.000 2.408
Mo -1.966 1.135 3.210
Mo 0.000 -2.270 3.210
Pa 0.000 0.000 16.853
Mo 0.000 0.000 0.000
Mo 1.966 1.135 3.210
```



# 4
Computed, not measured: an optimized crystal structure of PaMo at the GGA-PBE level of DFT.

Summary:
ΔE to the lowest computed polymorph = 0.176 eV per atom
total energy = -9.5868 eV per atom
formation enthalpy at 0 K = 0.585 eV/atom

Geometry as extended XYZ:
```
2
Lattice="0.000 2.789 2.789 2.789 0.000 2.789 2.789 2.789 0.000" Properties=species:S:1:pos:R:3 pbc="T T T"
Pa 2.789 2.789 2.789
Mo 0.000 0.000 0.000
```



# 5
Computed, not measured: an optimized crystal structure of PaMo at the GGA-PBE level of DFT.

Summary:
ΔE to the lowest computed polymorph = 0.000 eV per atom
total energy = -9.7623 eV per atom
formation enthalpy at 0 K = 0.410 eV/atom

Geometry as extended XYZ:
```
2
Lattice="-2.778 -0.351 -1.555 1.273 -2.477 1.582 -2.272 1.246 3.778" Properties=species:S:1:pos:R:3 pbc="T T T"
Pa -0.645 -1.457 1.481
Mo -3.132 -0.125 2.324
```



# 6
Computed, not measured: an optimized crystal structure of PaMo at the GGA-PBE level of DFT.

Summary:
ΔE to the lowest computed polymorph = 0.873 eV per atom
total energy = -8.8892 eV per atom
formation enthalpy at 0 K = 1.283 eV/atom

Geometry as extended XYZ:
```
2
Lattice="-3.415 -0.289 2.381 -0.921 3.040 2.706 -3.258 2.510 -0.710" Properties=species:S:1:pos:R:3 pbc="T T T"
Pa -1.898 1.315 1.094
Mo 0.000 0.000 0.000
```



# 7
Computed, not measured: an optimized crystal structure of PaMo2Pb2 at the GGA-PBE level of DFT.

Summary:
ΔE to the lowest computed polymorph = 0.000 eV per atom
total energy = -7.1113 eV per atom

Geometry as extended XYZ:
```
5
Lattice="-2.293 2.293 5.760 2.293 -2.293 5.760 2.293 2.293 -5.760" Properties=species:S:1:pos:R:3 pbc="T T T"
Pa 0.000 0.000 0.000
Pb 0.000 2.293 2.880
Mo 0.000 0.000 6.855
Pb 2.293 0.000 2.880
Mo 0.000 0.000 4.665
```



# 8
Computed, not measured: an optimized crystal structure of PrPaMo at the GGA-PBE level of DFT.

Summary:
total energy = -7.7563 eV per atom
formation enthalpy at 0 K = 0.617 eV/atom

Geometry as extended XYZ:
```
3
Lattice="0.000 3.456 3.456 3.456 0.000 3.456 3.456 3.456 0.000" Properties=species:S:1:pos:R:3 pbc="T T T"
Pa 1.728 1.728 1.728
Mo 0.000 0.000 0.000
Pr 5.185 5.185 5.185
```



# 9
Computed, not measured: an optimized crystal structure of PaMoPt at the GGA-PBE level of DFT.

Summary:
ΔE to the lowest computed polymorph = 0.223 eV per atom
total energy = -8.4932 eV per atom
formation enthalpy at 0 K = 0.307 eV/atom

Geometry as extended XYZ:
```
3
Lattice="4.088 0.735 1.850 0.490 3.130 3.262 0.822 -1.288 4.283" Properties=species:S:1:pos:R:3 pbc="T T T"
Pt 4.050 1.932 7.046
Mo 1.350 0.644 2.349
Pa 0.000 0.000 0.000
```



# 10
Computed, not measured: an optimized crystal structure of PaMoPt at the GGA-PBE level of DFT.

Summary:
ΔE to the lowest computed polymorph = 0.000 eV per atom
total energy = -8.7159 eV per atom
formation enthalpy at 0 K = 0.084 eV/atom

Geometry as extended XYZ:
```
3
Lattice="3.630 -2.304 1.277 0.061 -4.470 -0.361 2.605 -1.967 -3.076" Properties=species:S:1:pos:R:3 pbc="T T T"
Pt 4.722 -6.556 -1.620
Mo 0.000 0.000 0.000
Pa 1.574 -2.185 -0.540
```



# 11
Computed, not measured: an optimized crystal structure of PuPaMo at the GGA-PBE level of DFT.

Summary:
ΔE to the lowest computed polymorph = 0.000 eV per atom
total energy = -10.9412 eV per atom
formation enthalpy at 0 K = 0.549 eV/atom

Geometry as extended XYZ:
```
3
Lattice="-3.542 1.926 1.873 -3.520 1.080 -2.491 -3.800 -2.267 0.421" Properties=species:S:1:pos:R:3 pbc="T T T"
Pa -8.146 0.554 -0.148
Mo -2.715 0.185 -0.049
Pu 0.000 0.000 0.000
```



# 12
Computed, not measured: an optimized crystal structure of RbPaMo at the GGA-PBE level of DFT.

Summary:
ΔE to the lowest computed polymorph = 0.000 eV per atom
total energy = -5.2388 eV per atom

Geometry as extended XYZ:
```
3
Lattice="0.000 3.485 3.485 3.485 0.000 3.485 3.485 3.485 0.000" Properties=species:S:1:pos:R:3 pbc="T T T"
Mo 0.000 0.000 0.000
Pa 1.743 1.743 1.743
Rb 5.228 5.228 5.228
```